--- 1 ---
ScTaH2: optimized geometry, PBE-GGA.

```
ScTaH2
1.0
-0.9510 -0.5860 -4.8174
0.1850 -4.9098 0.5608
-4.0072 -2.8020 -1.4063
Sc H Ta
2 4 2
direct
0.5000 0.5000 0.0000 Sc
0.2500 0.7500 0.5000 Sc
0.6443 0.1250 0.2500 H
0.1057 0.6250 0.2500 H
0.3750 0.3557 0.7500 H
0.8750 0.8943 0.7500 H
0.0000 0.0000 0.0000 Ta
0.7500 0.2500 0.5000 Ta
```

Calculated values
**Volume**: 90.4 Å³/cell
**Space group**: I-42d, No. 122

***

--- 2 ---
ScTaH2: optimized geometry, PBE-GGA.

```
ScTaH2
1.0
0.0000 2.8136 2.8136
2.8136 0.0000 2.8136
2.8136 2.8136 0.0000
Sc H Ta
1 2 1
direct
0.0000 0.0000 0.0000 Sc
0.2500 0.2500 0.2500 H
0.7500 0.7500 0.7500 H
0.5000 0.5000 0.5000 Ta
```

Calculated values
**Volume**: 44.5 Å³/cell
**Space group**: Fm-3m, No. 225

***

--- 3 ---
ScTaH2: optimized geometry, PBE-GGA.

```
ScTaH2
1.0
-2.1655 1.1962 -1.8887
-0.9743 -1.6193 -2.4730
-4.7215 -2.2881 1.3997
Sc H Ta
1 2 1
direct
0.5000 0.5000 0.5000 Sc
0.7351 0.7351 0.7946 H
0.2649 0.2649 0.2054 H
0.0000 0.0000 0.0000 Ta
```

Calculated values
**Volume**: 43.0 Å³/cell
**Space group**: R-3m, No. 166

***

Going by the computed energies, the most stable comes first: 1, 3, 2.